This record from Alexandria via LeMat-Bulk describes a relaxed structure of SrCaIn2. The functional is PBE-GGA.

Unit cell a=3.971 b=3.971 c=7.915 alpha=90.00 beta=90.00 gamma=90.00
Element x y z (fractional)
In 0.000 0.000 0.527
Sr 0.500 0.500 0.250
Ca 0.500 0.500 0.750
In 0.000 0.000 0.973

Its space-group type is P4/mmm, No. 123. The formation energy is -0.45 eV/atom. The calculation puts the magnetization at 0.00 μB per atom.

***

This record from Alexandria via LeMat-Bulk describes a relaxed structure of NiMo3Ru. The functional is PBE-GGA.

Unit cell a=4.417 b=4.417 c=4.417 alpha=90.00 beta=90.00 gamma=90.00
Element x y z (fractional)
Ru 0.500 0.500 0.500
Mo 0.500 0.000 0.000
Ni 0.000 0.000 0.000
Mo 0.000 0.500 0.000
Mo 0.000 0.000 0.500

Its space-group type is Pm-3m, No. 221. The formation energy is 1.45 eV/atom. The calculation puts the magnetization at 0.00 μB per atom.

***

This record from Alexandria via LeMat-Bulk describes a relaxed structure of Sb2PtIN. The functional is PBE-GGA.

Unit cell a=4.790 b=4.790 c=4.614 alpha=90.00 beta=90.00 gamma=90.00
Element x y z (fractional)
I 0.000 0.000 0.500
Sb 0.500 0.000 0.000
N 0.000 0.000 0.000
Sb 0.000 0.500 0.000
Pt 0.500 0.500 0.500

Its space-group type is P4/mmm, No. 123. The calculation puts the formation energy from raw total energies at 0.883 eV per atom. The calculation puts the magnetization at 0.00 μB per atom.

***

This record from Alexandria via LeMat-Bulk describes a relaxed structure of RbCdPt3. The functional is PBE-GGA.

Unit cell a=5.129 b=5.129 c=5.129 alpha=90.00 beta=90.00 gamma=90.00
Element x y z (fractional)
Pt 0.000 0.500 0.000
Pt 0.500 0.000 0.000
Rb 0.500 0.500 0.500
Cd 0.000 0.000 0.000
Pt 0.000 0.000 0.500

Its space-group type is Pm-3m, No. 221. The formation energy is 0.80 eV/atom. The calculation puts the magnetization at 0.00 μB per atom.

***

This record from Alexandria via LeMat-Bulk describes a relaxed structure of LiNi2AgSb. The functional is PBE-GGA.

Unit cell a=4.679 b=4.874 c=4.679 alpha=90.00 beta=90.00 gamma=90.00
Element x y z (fractional)
Ag 0.500 0.500 0.500
Ni 0.500 0.000 0.000
Ni 0.000 0.000 0.500
Li 0.000 0.500 0.000
Sb 0.000 0.000 0.000

Its space-group type is P4/mmm, No. 123. The calculation puts the formation energy from raw total energies at 0.543 eV per atom. The calculation puts the magnetization at 0.00 μB per atom.

***

This record from Alexandria via LeMat-Bulk describes a relaxed structure of Nd6Ho3Th. The functional is PBE-GGA.

Unit cell a=3.585 b=12.023 c=16.170 alpha=90.00 beta=90.05 gamma=90.00
Element x y z (fractional)
Ho 0.500 0.897 0.184
Nd 0.499 0.766 0.550
Nd 0.501 0.235 0.137
Th 0.500 0.500 0.500
Nd 0.003 0.098 0.296
Nd 0.501 0.234 0.450
Nd 0.999 0.735 0.363
Ho 0.000 0.000 0.500
Nd 0.497 0.598 0.204
Ho 0.500 0.103 0.816
Nd 0.499 0.765 0.863
Ho 0.500 0.500 0.000
Ho 0.000 0.603 0.684
Ho 0.000 0.397 0.316
Nd 0.001 0.265 0.637
Nd 0.503 0.402 0.796
Nd 0.999 0.734 0.050
Th 0.000 0.000 0.000
Nd 0.001 0.266 0.950
Nd 0.997 0.902 0.704

Its space-group type is P2_1/c, No. 14. The formation energy is 0.19 eV/atom. The calculation puts the magnetization at 0.00 μB per atom.

***

This record from Alexandria via LeMat-Bulk describes a relaxed structure of ZrZnOsPt. The functional is PBE-GGA.

Unit cell a=4.522 b=4.522 c=4.522 alpha=60.00 beta=60.00 gamma=60.00
Element x y z (fractional)
Zn 0.000 0.000 0.000
Zr 0.500 0.500 0.500
Pt 0.250 0.250 0.250
Os 0.750 0.750 0.750

Its space-group type is F-43m, No. 216. The formation energy is -0.43 eV/atom. The calculation puts the magnetization at 0.00 μB per atom.

***

This record from Alexandria via LeMat-Bulk describes a relaxed structure of Ho6Tm2Pb. The functional is PBE-GGA.

Unit cell a=4.806 b=10.616 c=10.616 alpha=90.00 beta=90.00 gamma=90.00
Element x y z (fractional)
Ho 0.500 0.500 0.337
Tm 0.000 0.337 0.836
Ho 0.000 0.000 0.163
Ho 0.500 0.163 0.000
Ho 0.000 0.338 0.162
Pb 0.000 0.000 0.500
Tm 0.000 0.663 0.164
Tm 0.500 0.836 0.664
Ho 0.000 0.000 0.837
Ho 0.500 0.837 0.338
Tm 0.500 0.164 0.336
Ho 0.500 0.500 0.663
Pb 0.500 0.500 0.000
Ho 0.500 0.163 0.662
Ho 0.500 0.837 0.000
Ho 0.000 0.337 0.500
Ho 0.000 0.663 0.500
Ho 0.000 0.662 0.838

Its space-group type is P4_2/mnm, No. 136. The formation energy is -0.09 eV/atom. The calculation puts the magnetization at 0.00 μB per atom.

***

This record from Alexandria via LeMat-Bulk describes a relaxed structure of Er12Ni6Ag. The functional is PBE-GGA.

Unit cell a=8.291 b=8.291 c=8.291 alpha=109.47 beta=109.47 gamma=109.47
Element x y z (fractional)
Er 0.302 0.186 0.489
Er 0.116 0.302 0.814
Er 0.186 0.489 0.302
Ni 0.375 0.875 0.500
Er 0.814 0.116 0.302
Er 0.814 0.511 0.698
Ni 0.625 0.125 0.500
Ag 0.000 0.000 0.000
Ni 0.125 0.500 0.625
Ni 0.500 0.625 0.125
Er 0.698 0.186 0.884
Ni 0.875 0.500 0.375
Er 0.489 0.302 0.186
Er 0.884 0.698 0.186
Ni 0.500 0.375 0.875
Er 0.698 0.814 0.511
Er 0.186 0.884 0.698
Er 0.511 0.698 0.814
Er 0.302 0.814 0.116

Its space-group type is Im-3, No. 204. The formation energy is -0.34 eV/atom. The calculation puts the magnetization at 0.00 μB per atom.

***

This record from Alexandria via LeMat-Bulk describes a relaxed structure of CdTcAs2. The functional is PBE-GGA.

Unit cell a=3.238 b=3.238 c=7.154 alpha=90.00 beta=90.00 gamma=90.00
Element x y z (fractional)
As 0.500 0.500 0.197
As 0.000 0.000 0.958
Tc 0.500 0.500 0.811
Cd 0.000 0.000 0.534

Its space-group type is P4mm, No. 99. The formation energy is 0.17 eV/atom. The calculation puts the magnetization at 0.00 μB per atom.

***

This record from Alexandria via LeMat-Bulk describes a relaxed structure of Tb2Nd5Dy3. The functional is PBE-GGA.

Unit cell a=10.993 b=9.987 c=9.987 alpha=56.47 beta=56.61 gamma=56.61
Element x y z (fractional)
Nd 0.872 0.525 0.732
Nd 0.997 0.753 0.753
Tb 0.620 0.969 0.791
Nd 0.497 0.753 0.753
Dy 0.250 0.000 0.000
Nd 0.628 0.268 0.475
Tb 0.120 0.791 0.969
Tb 0.880 0.209 0.031
Nd 0.250 0.500 0.500
Nd 0.503 0.247 0.247
Dy 0.124 0.127 0.625
Nd 0.003 0.247 0.247
Dy 0.750 0.000 0.000
Tb 0.380 0.031 0.209
Dy 0.624 0.625 0.127
Dy 0.376 0.375 0.873
Nd 0.750 0.500 0.500
Dy 0.876 0.873 0.375
Nd 0.128 0.475 0.268
Nd 0.372 0.732 0.525

Its space-group type is Ibam, No. 72. The formation energy is 0.37 eV/atom. The calculation puts the magnetization at 0.00 μB per atom.

***

This record from Alexandria via LeMat-Bulk describes a relaxed structure of PSIO2. The functional is PBE-GGA.

Unit cell a=3.866 b=3.866 c=5.872 alpha=90.00 beta=90.00 gamma=90.00
Last column: magnetic moment on the atom in μB.
Element x y z (fractional)
S 0.500 0.500 0.500  -0.01
O 0.500 0.000 0.000  0.00
P 0.000 0.000 0.500  0.09
I 0.000 0.000 0.000  0.00
O 0.000 0.500 0.000  0.00

Its space-group type is P4/mmm, No. 123. The calculation puts the formation energy from raw total energies at 0.408 eV per atom. The calculation puts the magnetization at 0.03 μB per atom.

***

magnetization of number 7 (ZrZnOsPt)?
0.00 μB per atom

***

Which of these has the highest magnetization?
PSIO2

***

magnetization of number 7 (ZrZnOsPt)?
0.00 μB per atom